DFT (GGA-PBE) results for a relaxed BeMoW2 crystal. Values from VASP.

Output
Density = 13.692 g/cm3
Space group = Cmmm (65)
E_form = 0.11 eV/atom
D(E_F) = 2.09 states/eV/cell

```
&SYSTEM
  ibrav = 0, nat = 4, ntyp = 3
/
ATOMIC_SPECIES
Be 9.01 Be.upf
Mo 95.94 Mo.upf
W 183.84 W.upf
CELL_PARAMETERS angstrom
1.631 -2.183 0.000
1.631 2.183 0.000
0.000 0.000 8.049
ATOMIC_POSITIONS crystal
Be 0.000 0.000 0.000
Mo 0.000 0.000 0.500
W 0.500 0.500 0.221
W 0.500 0.500 0.779
```